1.
# AsOsPb, relaxed, DFT PBE
data_AsOsPb
_chemical_formula_sum 'As4 Os4 Pb4'
_symmetry_space_group_name_H-M 'F -4 3 m'
_symmetry_Int_Tables_number 216
_symmetry_space_group_name_Hall 'F -4 2 3'
_cell_length_a 6.355
_cell_length_b 6.355
_cell_length_c 6.355
_cell_angle_alpha 90.00
_cell_angle_beta 90.00
_cell_angle_gamma 90.00
loop_
_atom_site_label
_atom_site_type_symbol
_atom_site_fract_x
_atom_site_fract_y
_atom_site_fract_z
As1 As 0.000 0.000 0.000
Os1 Os 0.250 0.250 0.250
Pb1 Pb 0.000 0.000 0.500
# DFT total energy: -5.945 eV per atom
# ρ: 12.22 g/cm3
# Magnetization: 0.01 Bohr magnetons per cell

---

2.
# AsOsPd, relaxed, DFT PBE
data_AsOsPd
_chemical_formula_sum 'As4 Os4 Pd4'
_symmetry_space_group_name_H-M 'F -4 3 m'
_symmetry_Int_Tables_number 216
_symmetry_space_group_name_Hall 'F -4 2 3'
_cell_length_a 5.804
_cell_length_b 5.804
_cell_length_c 5.804
_cell_angle_alpha 90.00
_cell_angle_beta 90.00
_cell_angle_gamma 90.00
loop_
_atom_site_label
_atom_site_type_symbol
_atom_site_fract_x
_atom_site_fract_y
_atom_site_fract_z
As1 As 0.000 0.000 0.000
Os1 Os 0.250 0.250 0.750
Pd1 Pd 0.250 0.250 0.250
# DFT total energy: -6.878 eV per atom
# ρ: 12.62 g/cm3
# Magnetization: 0.02 Bohr magnetons per cell

---

3.
# AsOsPd2, relaxed, DFT PBE
data_AsOsPd2
_chemical_formula_sum 'As4 Os4 Pd8'
_symmetry_space_group_name_H-M 'F -4 3 m'
_symmetry_Int_Tables_number 216
_symmetry_space_group_name_Hall 'F -4 2 3'
_cell_length_a 6.212
_cell_length_b 6.212
_cell_length_c 6.212
_cell_angle_alpha 90.00
_cell_angle_beta 90.00
_cell_angle_gamma 90.00
loop_
_atom_site_label
_atom_site_type_symbol
_atom_site_fract_x
_atom_site_fract_y
_atom_site_fract_z
As1 As 0.000 0.000 0.000
Os1 Os 0.250 0.250 0.250
Pd1 Pd 0.000 0.000 0.500
Pd2 Pd 0.250 0.250 0.750
# DFT total energy: -6.362 eV per atom
# ρ: 13.24 g/cm3
# Magnetization: 0.01 Bohr magnetons per cell

---

4.
# PrAsOs, relaxed, DFT PBE
data_PrAsOs
_chemical_formula_sum 'Pr3 As3 Os3'
_symmetry_space_group_name_H-M 'P -6 2 m'
_symmetry_Int_Tables_number 189
_symmetry_space_group_name_Hall 'P -6 -2'
_cell_length_a 7.1361
_cell_length_b 7.1361
_cell_length_c 4.1063
_cell_angle_alpha 90.00
_cell_angle_beta 90.00
_cell_angle_gamma 120.00
loop_
_atom_site_label
_atom_site_type_symbol
_atom_site_fract_x
_atom_site_fract_y
_atom_site_fract_z
Pr1 Pr 0.0000 0.5894 0.0000
As1 As 0.0000 0.0000 0.0000
As2 As 0.3333 0.6667 0.5000
Os1 Os 0.0000 0.2289 0.5000
# DFT total energy: -7.380 eV per atom
# ρ: 11.17 g/cm3
# Magnetization: 0.01 Bohr magnetons per cell

---

5.
# PrAsOs, relaxed, DFT PBE
data_PrAsOs
_chemical_formula_sum 'Pr4 As4 Os4'
_symmetry_space_group_name_H-M 'F -4 3 m'
_symmetry_Int_Tables_number 216
_symmetry_space_group_name_Hall 'F -4 2 3'
_cell_length_a 6.503
_cell_length_b 6.503
_cell_length_c 6.503
_cell_angle_alpha 90.00
_cell_angle_beta 90.00
_cell_angle_gamma 90.00
loop_
_atom_site_label
_atom_site_type_symbol
_atom_site_fract_x
_atom_site_fract_y
_atom_site_fract_z
Pr1 Pr 0.000 0.000 0.000
As1 As 0.000 0.000 0.500
Os1 Os 0.250 0.250 0.750
# DFT total energy: -6.846 eV per atom
# ρ: 9.81 g/cm3
# Magnetization: 0.01 Bohr magnetons per cell

---

6.
# AsOsPt2, relaxed, DFT PBE
data_AsOsPt2
_chemical_formula_sum 'As4 Os4 Pt8'
_symmetry_space_group_name_H-M 'F -4 3 m'
_symmetry_Int_Tables_number 216
_symmetry_space_group_name_Hall 'F -4 2 3'
_cell_length_a 6.279
_cell_length_b 6.279
_cell_length_c 6.279
_cell_angle_alpha 90.00
_cell_angle_beta 90.00
_cell_angle_gamma 90.00
loop_
_atom_site_label
_atom_site_type_symbol
_atom_site_fract_x
_atom_site_fract_y
_atom_site_fract_z
As1 As 0.000 0.000 0.000
Os1 Os 0.250 0.250 0.250
Pt1 Pt 0.000 0.000 0.500
Pt2 Pt 0.250 0.250 0.750
# DFT total energy: -6.653 eV per atom
# ρ: 17.58 g/cm3
# Magnetization: 1.73 Bohr magnetons per cell

---

7.
# RbAsOs, relaxed, DFT PBE
data_RbAsOs
_chemical_formula_sum 'Rb4 As4 Os4'
_symmetry_space_group_name_H-M 'F -4 3 m'
_symmetry_Int_Tables_number 216
_symmetry_space_group_name_Hall 'F -4 2 3'
_cell_length_a 6.660
_cell_length_b 6.660
_cell_length_c 6.660
_cell_angle_alpha 90.00
_cell_angle_beta 90.00
_cell_angle_gamma 90.00
loop_
_atom_site_label
_atom_site_type_symbol
_atom_site_fract_x
_atom_site_fract_y
_atom_site_fract_z
Rb1 Rb 0.000 0.000 0.000
As1 As 0.250 0.250 0.750
Os1 Os 0.000 0.000 0.500
# DFT total energy: -4.077 eV per atom
# ρ: 7.88 g/cm3
# Magnetization: 0.14 Bohr magnetons per cell

---

8.
# RbAsOs, relaxed, DFT PBE
data_RbAsOs
_chemical_formula_sum 'Rb4 As4 Os4'
_symmetry_space_group_name_H-M 'F -4 3 m'
_symmetry_Int_Tables_number 216
_symmetry_space_group_name_Hall 'F -4 2 3'
_cell_length_a 7.134
_cell_length_b 7.134
_cell_length_c 7.134
_cell_angle_alpha 90.00
_cell_angle_beta 90.00
_cell_angle_gamma 90.00
loop_
_atom_site_label
_atom_site_type_symbol
_atom_site_fract_x
_atom_site_fract_y
_atom_site_fract_z
Rb1 Rb 0.000 0.000 0.000
As1 As 0.250 0.250 0.750
Os1 Os 0.250 0.250 0.250
# DFT total energy: -3.059 eV per atom
# ρ: 6.41 g/cm3
# Magnetization: 11.36 Bohr magnetons per cell

---

9.
# RbAsOs, relaxed, DFT PBE
data_RbAsOs
_chemical_formula_sum 'Rb4 As4 Os4'
_symmetry_space_group_name_H-M 'F -4 3 m'
_symmetry_Int_Tables_number 216
_symmetry_space_group_name_Hall 'F -4 2 3'
_cell_length_a 6.535
_cell_length_b 6.535
_cell_length_c 6.535
_cell_angle_alpha 90.00
_cell_angle_beta 90.00
_cell_angle_gamma 90.00
loop_
_atom_site_label
_atom_site_type_symbol
_atom_site_fract_x
_atom_site_fract_y
_atom_site_fract_z
Rb1 Rb 0.000 0.000 0.000
As1 As 0.000 0.000 0.500
Os1 Os 0.250 0.250 0.750
# DFT total energy: -4.254 eV per atom
# ρ: 8.34 g/cm3
# Magnetization: 0.00 Bohr magnetons per cell

---

10.
# Re2AsOs, relaxed, DFT PBE
data_Re2AsOs
_chemical_formula_sum 'Re8 As4 Os4'
_symmetry_space_group_name_H-M 'F -4 3 m'
_symmetry_Int_Tables_number 216
_symmetry_space_group_name_Hall 'F -4 2 3'
_cell_length_a 6.222
_cell_length_b 6.222
_cell_length_c 6.222
_cell_angle_alpha 90.00
_cell_angle_beta 90.00
_cell_angle_gamma 90.00
loop_
_atom_site_label
_atom_site_type_symbol
_atom_site_fract_x
_atom_site_fract_y
_atom_site_fract_z
Re1 Re 0.000 0.000 0.000
Re2 Re 0.250 0.250 0.250
As1 As 0.000 0.000 0.500
Os1 Os 0.250 0.250 0.750
# DFT total energy: -9.635 eV per atom
# ρ: 17.58 g/cm3
# Magnetization: 0.00 Bohr magnetons per cell

---

11.
# ReAsOs2, relaxed, DFT PBE
data_ReAsOs2
_chemical_formula_sum 'Re4 As4 Os8'
_symmetry_space_group_name_H-M 'F -4 3 m'
_symmetry_Int_Tables_number 216
_symmetry_space_group_name_Hall 'F -4 2 3'
_cell_length_a 6.197
_cell_length_b 6.197
_cell_length_c 6.197
_cell_angle_alpha 90.00
_cell_angle_beta 90.00
_cell_angle_gamma 90.00
loop_
_atom_site_label
_atom_site_type_symbol
_atom_site_fract_x
_atom_site_fract_y
_atom_site_fract_z
Re1 Re 0.000 0.000 0.000
As1 As 0.250 0.250 0.750
Os1 Os 0.000 0.000 0.500
Os2 Os 0.250 0.250 0.250
# DFT total energy: -9.285 eV per atom
# ρ: 17.91 g/cm3
# Magnetization: 0.00 Bohr magnetons per cell

---

12.
# AsOsS6, relaxed, DFT PBE
data_AsOsS6
_chemical_formula_sum 'As4 Os4 S24'
_symmetry_space_group_name_H-M 'F -4 3 m'
_symmetry_Int_Tables_number 216
_symmetry_space_group_name_Hall 'F -4 2 3'
_cell_length_a 8.628
_cell_length_b 8.628
_cell_length_c 8.628
_cell_angle_alpha 90.00
_cell_angle_beta 90.00
_cell_angle_gamma 90.00
loop_
_atom_site_label
_atom_site_type_symbol
_atom_site_fract_x
_atom_site_fract_y
_atom_site_fract_z
As1 As 0.000 0.000 0.000
Os1 Os 0.250 0.250 0.250
S1 S 0.018 0.250 0.750
# DFT total energy: -4.434 eV per atom
# ρ: 4.73 g/cm3
# Magnetization: 0.25 Bohr magnetons per cell

---

13.
# SbAsOs, relaxed, DFT PBE
data_SbAsOs
_chemical_formula_sum 'Sb2 As2 Os2'
_symmetry_space_group_name_H-M 'P 1 2/m 1'
_symmetry_Int_Tables_number 10
_cell_length_a 5.762
_cell_length_b 3.155
_cell_length_c 6.534
_cell_angle_alpha 90.00
_cell_angle_beta 93.00
_cell_angle_gamma 90.00
loop_
_symmetry_equiv_pos_as_xyz
'x,y,z'
'-x,-y,-z'
'-x,y,-z'
'x,-y,z'
loop_
_atom_site_label
_atom_site_type_symbol
_atom_site_fract_x
_atom_site_fract_y
_atom_site_fract_z
Sb1 Sb 0.182 0.000 0.146
As1 As 0.324 0.500 0.636
Os1 Os 0.000 0.000 0.500
Os2 Os 0.500 0.500 0.000
# DFT total energy: -6.692 eV per atom
# ρ: 10.83 g/cm3
# Magnetization: 0.00 Bohr magnetons per cell
# Excess energy over the best structure of this formula in the dataset: 77 meV per atom

---

14.
# SbAsOs, relaxed, DFT PBE
data_SbAsOs
_chemical_formula_sum 'Sb2 As2 Os2'
_symmetry_space_group_name_H-M 'P m n 21'
_symmetry_Int_Tables_number 31
_cell_length_a 3.150
_cell_length_b 5.732
_cell_length_c 6.504
_cell_angle_alpha 90.00
_cell_angle_beta 90.00
_cell_angle_gamma 90.00
loop_
_symmetry_equiv_pos_as_xyz
'x,y,z'
'-x+1/2,-y,z+1/2'
'-x,y,z'
'x+1/2,-y,z+1/2'
loop_
_atom_site_label
_atom_site_type_symbol
_atom_site_fract_x
_atom_site_fract_y
_atom_site_fract_z
Sb1 Sb 0.000 0.080 0.000
As1 As 0.000 0.432 0.723
Os1 Os 0.000 0.272 0.368
# DFT total energy: -6.769 eV per atom
# ρ: 10.94 g/cm3
# Magnetization: 0.00 Bohr magnetons per cell
# Excess energy over the best structure of this formula in the dataset: 0 meV per atom

---

15.
# SbAs3Os2, relaxed, DFT PBE
data_SbAs3Os2
_chemical_formula_sum 'Sb1 As3 Os2'
_symmetry_space_group_name_H-M 'P 1 m 1'
_symmetry_Int_Tables_number 6
_cell_length_a 5.608
_cell_length_b 3.100
_cell_length_c 6.386
_cell_angle_alpha 90.00
_cell_angle_beta 91.48
_cell_angle_gamma 90.00
loop_
_symmetry_equiv_pos_as_xyz
'x,y,z'
'x,-y,z'
loop_
_atom_site_label
_atom_site_type_symbol
_atom_site_fract_x
_atom_site_fract_y
_atom_site_fract_z
Sb1 Sb 0.000 0.000 0.000
As1 As 0.352 0.000 0.280
As2 As 0.497 0.500 0.772
As3 As 0.843 0.500 0.503
Os1 Os 0.176 0.000 0.627
Os2 Os 0.655 0.500 0.145
# DFT total energy: -6.889 eV per atom
# ρ: 10.88 g/cm3
# Magnetization: 0.00 Bohr magnetons per cell

---

16.
# Sb3AsOs2, relaxed, DFT PBE
data_Sb3AsOs2
_chemical_formula_sum 'Sb3 As1 Os2'
_symmetry_space_group_name_H-M 'P 1 m 1'
_symmetry_Int_Tables_number 6
_cell_length_a 5.874
_cell_length_b 3.196
_cell_length_c 6.641
_cell_angle_alpha 90.00
_cell_angle_beta 91.39
_cell_angle_gamma 90.00
loop_
_symmetry_equiv_pos_as_xyz
'x,y,z'
'x,-y,z'
loop_
_atom_site_label
_atom_site_type_symbol
_atom_site_fract_x
_atom_site_fract_y
_atom_site_fract_z
Sb1 Sb 0.000 0.000 0.000
Sb2 Sb 0.147 0.500 0.492
Sb3 Sb 0.638 0.000 0.712
As1 As 0.502 0.500 0.215
Os1 Os 0.325 0.500 0.867
Os2 Os 0.803 0.000 0.349
# DFT total energy: -6.615 eV per atom
# ρ: 10.93 g/cm3
# Magnetization: 0.01 Bohr magnetons per cell

---

17.
# SbAsOs, relaxed, DFT PBE
data_SbAsOs
_chemical_formula_sum 'Sb4 As4 Os4'
_symmetry_space_group_name_H-M 'F -4 3 m'
_symmetry_Int_Tables_number 216
_symmetry_space_group_name_Hall 'F -4 2 3'
_cell_length_a 6.222
_cell_length_b 6.222
_cell_length_c 6.222
_cell_angle_alpha 90.00
_cell_angle_beta 90.00
_cell_angle_gamma 90.00
loop_
_atom_site_label
_atom_site_type_symbol
_atom_site_fract_x
_atom_site_fract_y
_atom_site_fract_z
Sb1 Sb 0.000 0.000 0.000
As1 As 0.000 0.000 0.500
Os1 Os 0.250 0.250 0.750
# DFT total energy: -6.503 eV per atom
# ρ: 10.67 g/cm3
# Magnetization: 0.00 Bohr magnetons per cell
# Excess energy over the best structure of this formula in the dataset: 266 meV per atom

---

18.
# Ta2SbAsOs2, relaxed, DFT PBE
data_Ta2SbAsOs2
_chemical_formula_sum 'Ta8 Sb4 As4 Os8'
_symmetry_space_group_name_H-M 'P 1 m 1'
_symmetry_Int_Tables_number 6
_cell_length_a 10.603
_cell_length_b 4.329
_cell_length_c 10.608
_cell_angle_alpha 90.00
_cell_angle_beta 109.50
_cell_angle_gamma 90.00
loop_
_symmetry_equiv_pos_as_xyz
'x,y,z'
'x,-y,z'
loop_
_atom_site_label
_atom_site_type_symbol
_atom_site_fract_x
_atom_site_fract_y
_atom_site_fract_z
Ta1 Ta 0.000 0.000 0.000
Ta2 Ta 0.120 0.500 0.374
Ta3 Ta 0.243 0.000 0.745
Ta4 Ta 0.375 0.500 0.131
Ta5 Ta 0.499 0.000 0.499
Ta6 Ta 0.625 0.500 0.870
Ta7 Ta 0.748 0.000 0.254
Ta8 Ta 0.870 0.500 0.622
Sb1 Sb 0.122 0.500 0.875
Sb2 Sb 0.372 0.500 0.622
Sb3 Sb 0.499 0.000 0.001
Sb4 Sb 0.873 0.500 0.125
As1 As 0.248 0.000 0.252
As2 As 0.623 0.500 0.376
As3 As 0.748 0.000 0.747
As4 As 0.995 0.000 0.499
Os1 Os 0.128 0.500 0.130
Os2 Os 0.242 0.000 0.495
Os3 Os 0.372 0.500 0.874
Os4 Os 0.500 0.000 0.256
Os5 Os 0.625 0.500 0.623
Os6 Os 0.749 0.000 0.994
Os7 Os 0.870 0.500 0.378
Os8 Os 0.993 0.000 0.745
# DFT total energy: -9.395 eV per atom
# ρ: 13.59 g/cm3
# Magnetization: 0.01 Bohr magnetons per cell

---

19.
# Y3TmSc2As2Os, relaxed, DFT PBE
data_Y3TmSc2As2Os
_chemical_formula_sum 'Y6 Tm2 Sc4 As4 Os2'
_symmetry_space_group_name_H-M 'A m m 2'
_symmetry_Int_Tables_number 38
_cell_length_a 4.115
_cell_length_b 13.204
_cell_length_c 7.660
_cell_angle_alpha 90.00
_cell_angle_beta 90.00
_cell_angle_gamma 90.00
loop_
_symmetry_equiv_pos_as_xyz
'x,y,z'
'-x,-y,z'
'-x,y,z'
'x,-y,z'
'x,y+1/2,z+1/2'
'-x,-y+1/2,z+1/2'
'-x,y+1/2,z+1/2'
'x,-y+1/2,z+1/2'
loop_
_atom_site_label
_atom_site_type_symbol
_atom_site_fract_x
_atom_site_fract_y
_atom_site_fract_z
Y1 Y 0.000 0.000 0.000
Y2 Y 0.000 0.206 0.607
Tm1 Tm 0.500 0.000 0.639
Sc1 Sc 0.500 0.120 0.284
As1 As 0.500 0.169 0.906
Os1 Os 0.000 0.000 0.388
# DFT total energy: -7.177 eV per atom
# ρ: 6.91 g/cm3
# Magnetization: 0.09 Bohr magnetons per cell

---

20.
# Y3Tm2ScAs2Os, relaxed, DFT PBE
data_Y3Tm2ScAs2Os
_chemical_formula_sum 'Y6 Tm4 Sc2 As4 Os2'
_symmetry_space_group_name_H-M 'A m m 2'
_symmetry_Int_Tables_number 38
_cell_length_a 4.127
_cell_length_b 13.406
_cell_length_c 7.753
_cell_angle_alpha 90.00
_cell_angle_beta 90.00
_cell_angle_gamma 90.00
loop_
_symmetry_equiv_pos_as_xyz
'x,y,z'
'-x,-y,z'
'-x,y,z'
'x,-y,z'
'x,y+1/2,z+1/2'
'-x,-y+1/2,z+1/2'
'-x,y+1/2,z+1/2'
'x,-y+1/2,z+1/2'
loop_
_atom_site_label
_atom_site_type_symbol
_atom_site_fract_x
_atom_site_fract_y
_atom_site_fract_z
Y1 Y 0.000 0.000 0.000
Y2 Y 0.000 0.201 0.382
Tm1 Tm 0.500 0.119 0.705
Sc1 Sc 0.500 0.000 0.341
As1 As 0.500 0.165 0.089
Os1 Os 0.000 0.000 0.564
# DFT total energy: -6.946 eV per atom
# ρ: 7.66 g/cm3
# Magnetization: 0.03 Bohr magnetons per cell